one) Computed, not measured: crystalline PrTc2Ge2 at its relaxed geometry at the PBE level of DFT.

Magnetization: 0.01 Bohr magnetons per cell

Lattice parameters (Å, degrees): 22.125 4.192 4.219 90.00 100.76 90.00
Space group C2/m (No. 12)
Symmetry-distinct sites (fractional):
1 Pr 0.161 0.000 0.399 x4
2 Tc 0.034 0.000 0.783 x4
3 Tc 0.036 0.500 0.285 x4
4 Ge 0.103 0.500 0.853 x4
5 Ge 0.221 0.500 0.925 x4


two) Computed, not measured: crystalline PrTc2Ge2 at its relaxed geometry at the PBE level of DFT.

Magnetization: 0.02 Bohr magnetons per cell

Lattice parameters (Å, degrees): 6.330 6.387 9.745 90.00 90.00 90.00
Space group Fmmm (No. 69)
Symmetry-distinct sites (fractional):
1 Pr 0.000 0.000 0.000 x4
2 Tc 0.000 0.000 0.382 x8
3 Ge 0.250 0.250 0.250 x8


Preferred: one); penalty for the next structure: 204 meV per atom.


one) Computed, not measured: crystalline PrGeW at its relaxed geometry at the PBE level of DFT.

Magnetization: 2.15 Bohr magnetons per cell

Lattice parameters (Å, degrees): 6.561 6.561 6.561 90.00 90.00 90.00
Space group F-43m (No. 216)
Symmetry-distinct sites (fractional):
1 Pr 0.000 0.000 0.000 x4
2 Ge 0.250 0.250 0.250 x4
3 W 0.000 0.000 0.500 x4


two) Computed, not measured: crystalline PrGeW at its relaxed geometry at the PBE level of DFT.

Magnetization: 12.54 Bohr magnetons per cell

Lattice parameters (Å, degrees): 6.939 6.939 6.939 90.00 90.00 90.00
Space group F-43m (No. 216)
Symmetry-distinct sites (fractional):
1 Pr 0.000 0.000 0.000 x4
2 Ge 0.250 0.250 0.750 x4
3 W 0.250 0.250 0.250 x4


Preferred: one); penalty for the next structure: 937 meV per atom.


one) Computed, not measured: crystalline PrZn2Ge2 at its relaxed geometry at the PBE level of DFT.

Magnetization: 0.01 Bohr magnetons per cell

Lattice parameters (Å, degrees): 4.173 4.173 11.427 90.00 90.00 90.00
Space group I4/mmm (No. 139)
Symmetry-distinct sites (fractional):
1 Pr 0.000 0.000 0.000 x2
2 Zn 0.000 0.500 0.250 x4
3 Ge 0.000 0.000 0.387 x4


two) Computed, not measured: crystalline PrZn2Ge2 at its relaxed geometry at the PBE level of DFT.

Magnetization: 0.00 Bohr magnetons per cell

Lattice parameters (Å, degrees): 4.452 4.452 10.136 90.00 90.00 90.00
Space group I4/mmm (No. 139)
Symmetry-distinct sites (fractional):
1 Pr 0.000 0.000 0.000 x2
2 Zn 0.000 0.000 0.381 x4
3 Ge 0.000 0.500 0.250 x4


Preferred: one); penalty for the next structure: 43 meV per atom.


one) Computed, not measured: crystalline Ge2Pt3 at its relaxed geometry at the PBE level of DFT.

Magnetization: 0.00 Bohr magnetons per cell

Lattice parameters (Å, degrees): 4.2207 4.2207 5.5356 90.00 90.00 120.00
Space group P-3m1 (No. 164)
Symmetry-distinct sites (fractional):
1 Ge 0.3333 0.6667 0.2177 x2
2 Pt 0.0000 0.0000 0.0000 x1
3 Pt 0.3333 0.6667 0.6776 x2


two) Computed, not measured: crystalline Ge2Pt3 at its relaxed geometry at the PBE level of DFT.

Magnetization: 0.02 Bohr magnetons per cell

Lattice parameters (Å, degrees): 12.388 7.646 6.972 90.00 90.00 90.00
Space group Pnma (No. 62)
Symmetry-distinct sites (fractional):
1 Ge 0.006 0.250 0.128 x4
2 Ge 0.010 0.250 0.621 x4
3 Ge 0.245 0.028 0.875 x8
4 Pt 0.088 0.559 0.128 x8
5 Pt 0.091 0.558 0.623 x8
6 Pt 0.215 0.250 0.156 x4
7 Pt 0.218 0.250 0.590 x4


Preferred: two); penalty for the next structure: 194 meV per atom.


one) Computed, not measured: crystalline GePt17 at its relaxed geometry at the PBE level of DFT.

Magnetization: 0.06 Bohr magnetons per cell

Lattice parameters (Å, degrees): 5.5382 5.5382 34.1312 90.00 90.00 120.00
Space group P-3m1 (No. 164)
Symmetry-distinct sites (fractional):
1 Ge 0.3333 0.6667 0.2265 x2
2 Pt 0.0000 0.0000 0.2948 x2
3 Pt 0.0000 0.0000 0.5000 x1
4 Pt 0.0000 0.5000 0.5000 x3
5 Pt 0.0007 0.5003 0.2944 x6
6 Pt 0.1659 0.3318 0.7739 x6
7 Pt 0.1665 0.3330 0.5684 x6
8 Pt 0.1671 0.3341 0.3631 x6
9 Pt 0.3333 0.6667 0.4319 x2
10 Pt 0.3333 0.6667 0.6361 x2


two) Computed, not measured: crystalline GePt17 at its relaxed geometry at the PBE level of DFT.

Magnetization: 0.03 Bohr magnetons per cell

Lattice parameters (Å, degrees): 4.786 5.552 34.059 90.00 90.01 90.00
Space group P2_1/m (No. 11)
Symmetry-distinct sites (fractional):
1 Ge 0.166 0.250 0.273 x2
2 Pt 0.000 0.000 0.000 x2
3 Pt 0.000 0.001 0.206 x4
4 Pt 0.167 0.750 0.069 x2
5 Pt 0.167 0.750 0.863 x2
6 Pt 0.168 0.250 0.068 x2
7 Pt 0.168 0.250 0.864 x2
8 Pt 0.170 0.750 0.274 x2
9 Pt 0.332 0.001 0.137 x4
10 Pt 0.333 0.003 0.726 x4
11 Pt 0.333 0.501 0.932 x4
12 Pt 0.497 0.250 0.206 x2
13 Pt 0.499 0.250 0.795 x2
14 Pt 0.499 0.750 0.000 x2


Preferred: one); penalty for the next structure: 8 meV per atom.


one) Computed, not measured: crystalline GePt7 at its relaxed geometry at the PBE level of DFT.

Magnetization: 0.05 Bohr magnetons per cell

Lattice parameters (Å, degrees): 2.803 3.946 36.461 90.00 90.00 90.00
Space group Pmmn (No. 59, origin choice 2)
Symmetry-distinct sites (fractional):
1 Ge 0.250 0.250 0.214 x2
2 Pt 0.250 0.250 0.286 x2
3 Pt 0.250 0.250 0.364 x2
4 Pt 0.250 0.250 0.442 x2
5 Pt 0.250 0.250 0.520 x2
6 Pt 0.250 0.250 0.597 x2
7 Pt 0.250 0.250 0.675 x2
8 Pt 0.250 0.250 0.757 x2


two) Computed, not measured: crystalline GePt7 at its relaxed geometry at the PBE level of DFT.

Magnetization: 0.01 Bohr magnetons per cell

Lattice parameters (Å, degrees): 2.834 2.834 44.310 90.00 90.00 90.00
Space group P4/nmm (No. 129, origin choice 2)
Symmetry-distinct sites (fractional):
1 Ge 0.250 0.250 0.170 x2
2 Pt 0.250 0.250 0.257 x2
3 Pt 0.250 0.250 0.346 x2
4 Pt 0.250 0.250 0.434 x2
5 Pt 0.250 0.250 0.522 x2
6 Pt 0.250 0.250 0.610 x2
7 Pt 0.250 0.250 0.698 x2
8 Pt 0.250 0.250 0.790 x2


Preferred: one); penalty for the next structure: 21 meV per atom.


one) Computed, not measured: crystalline RbGePt at its relaxed geometry at the PBE level of DFT.

Magnetization: 0.01 Bohr magnetons per cell

Lattice parameters (Å, degrees): 6.892 6.892 6.892 90.00 90.00 90.00
Space group F-43m (No. 216)
Symmetry-distinct sites (fractional):
1 Rb 0.000 0.000 0.000 x4
2 Ge 0.000 0.000 0.500 x4
3 Pt 0.250 0.250 0.750 x4


two) Computed, not measured: crystalline RbGePt at its relaxed geometry at the PBE level of DFT.

Magnetization: 1.47 Bohr magnetons per cell

Lattice parameters (Å, degrees): 7.103 7.103 7.103 90.00 90.00 90.00
Space group F-43m (No. 216)
Symmetry-distinct sites (fractional):
1 Rb 0.000 0.000 0.000 x4
2 Ge 0.250 0.250 0.750 x4
3 Pt 0.250 0.250 0.250 x4


Preferred: one); penalty for the next structure: 791 meV per atom.


one) Computed, not measured: crystalline SmSiGePt2 at its relaxed geometry at the PBE level of DFT.

Magnetization: 0.00 Bohr magnetons per cell

Lattice parameters (Å, degrees): 4.290 4.290 10.021 90.00 90.00 90.00
Space group P4/nmm (No. 129, origin choice 2)
Symmetry-distinct sites (fractional):
1 Sm 0.250 0.250 0.250 x2
2 Si 0.250 0.250 0.626 x2
3 Ge 0.250 0.750 0.000 x2
4 Pt 0.250 0.250 0.862 x2
5 Pt 0.250 0.750 0.500 x2


two) Computed, not measured: crystalline SmSiGePt2 at its relaxed geometry at the PBE level of DFT.

Magnetization: 0.00 Bohr magnetons per cell

Lattice parameters (Å, degrees): 4.295 4.295 9.996 90.00 90.00 90.00
Space group P4/nmm (No. 129, origin choice 2)
Symmetry-distinct sites (fractional):
1 Sm 0.250 0.250 0.244 x2
2 Si 0.250 0.750 0.000 x2
3 Ge 0.250 0.250 0.637 x2
4 Pt 0.250 0.250 0.886 x2
5 Pt 0.250 0.750 0.500 x2


Preferred: one); penalty for the next structure: 11 meV per atom.


one) Computed, not measured: crystalline YSiGePt2 at its relaxed geometry at the PBE level of DFT.

Magnetization: 0.00 Bohr magnetons per cell

Lattice parameters (Å, degrees): 4.230 4.230 10.143 90.00 90.00 90.00
Space group P4/nmm (No. 129, origin choice 2)
Symmetry-distinct sites (fractional):
1 Y 0.250 0.250 0.246 x2
2 Si 0.250 0.250 0.872 x2
3 Ge 0.250 0.750 0.500 x2
4 Pt 0.250 0.250 0.641 x2
5 Pt 0.250 0.750 0.000 x2


two) Computed, not measured: crystalline YSiGePt2 at its relaxed geometry at the PBE level of DFT.

Magnetization: 0.00 Bohr magnetons per cell

Lattice parameters (Å, degrees): 4.246 4.246 10.050 90.00 90.00 90.00
Space group P4/nmm (No. 129, origin choice 2)
Symmetry-distinct sites (fractional):
1 Y 0.250 0.250 0.245 x2
2 Si 0.250 0.750 0.000 x2
3 Ge 0.250 0.250 0.640 x2
4 Pt 0.250 0.250 0.884 x2
5 Pt 0.250 0.750 0.500 x2


Preferred: one); penalty for the next structure: 18 meV per atom.


one) Computed, not measured: crystalline PuReGe at its relaxed geometry at the PBE level of DFT.

Magnetization: 14.10 Bohr magnetons per cell

Lattice parameters (Å, degrees): 6.316 6.316 6.316 90.00 90.00 90.00
Space group F-43m (No. 216)
Symmetry-distinct sites (fractional):
1 Pu 0.000 0.000 0.000 x4
2 Re 0.250 0.250 0.750 x4
3 Ge 0.250 0.250 0.250 x4


two) Computed, not measured: crystalline PuReGe at its relaxed geometry at the PBE level of DFT.

Magnetization: 18.53 Bohr magnetons per cell

Lattice parameters (Å, degrees): 6.236 6.236 6.236 90.00 90.00 90.00
Space group F-43m (No. 216)
Symmetry-distinct sites (fractional):
1 Pu 0.000 0.000 0.000 x4
2 Re 0.250 0.250 0.250 x4
3 Ge 0.000 0.000 0.500 x4


Preferred: two); penalty for the next structure: 690 meV per atom.